Gd3DyH: optimized geometry, PBE.

Computed properties:
Density of states at the Fermi level   1.08 states/eV/atom
Energy   -51.0 eV/cell
Magnetization   21.486 μB per formula unit

a b c (Å): 5.023 5.023 5.023
angles (deg): 90.00 90.00 90.00
Each line ends with the local moment (μB).
Fractional coordinates of all 5 atoms:
1 H 0.000 0.000 0.000  -0.02
2 Gd 0.000 0.500 0.000  7.08
3 Gd 0.000 0.000 0.500  7.08
4 Gd 0.500 0.000 0.000  7.08
5 Dy 0.500 0.500 0.500  -0.18